A relaxed TlHg crystal, computed with PBE-GGA.

Properties
E in eV per atom: -1.336
Size of the total moment in μB/atom: 0.0000
Space group: Pmma (51)

Geometry as CIF:
```
data_TlHg
_chemical_formula_sum 'Tl2 Hg2'
_cell_length_a 5.855
_cell_length_b 3.757
_cell_length_c 5.306
_cell_angle_alpha 90.00
_cell_angle_beta 90.00
_cell_angle_gamma 90.00
_symmetry_space_group_name_H-M 'P 1'
_symmetry_Int_Tables_number 1
loop_
_symmetry_equiv_pos_as_xyz
'x,y,z'
loop_
_atom_site_label
_atom_site_type_symbol
_atom_site_fract_x
_atom_site_fract_y
_atom_site_fract_z
Tl1 Tl 0.250 0.000 0.249
Tl2 Tl 0.750 0.000 0.751
Hg1 Hg 0.250 0.500 0.749
Hg2 Hg 0.750 0.500 0.251
```



A relaxed Tl3Hg crystal, computed with PBE-GGA.

Properties
E in eV per atom: -1.826
Size of the total moment in μB/atom: 0.0000
Space group: I4/mmm (139)

Geometry as CIF:
```
data_Tl3Hg
_chemical_formula_sum 'Tl3 Hg1'
_cell_length_a 6.125
_cell_length_b 6.125
_cell_length_c 6.125
_cell_angle_alpha 133.72
_cell_angle_beta 133.72
_cell_angle_gamma 67.52
_symmetry_space_group_name_H-M 'P 1'
_symmetry_Int_Tables_number 1
loop_
_symmetry_equiv_pos_as_xyz
'x,y,z'
loop_
_atom_site_label
_atom_site_type_symbol
_atom_site_fract_x
_atom_site_fract_y
_atom_site_fract_z
Tl1 Tl 0.000 0.000 0.000
Tl2 Tl 0.250 0.750 0.500
Tl3 Tl 0.750 0.250 0.500
Hg1 Hg 0.500 0.500 0.000
```



A relaxed Tl3Hg5 crystal, computed with PBE-GGA.

Properties
E in eV per atom: -1.069
Size of the total moment in μB/atom: 0.0000
Space group: I4/mcm (140)

Geometry as CIF:
```
data_Tl3Hg5
_chemical_formula_sum 'Tl6 Hg10'
_cell_length_a 9.170
_cell_length_b 9.170
_cell_length_c 9.170
_cell_angle_alpha 96.84
_cell_angle_beta 96.84
_cell_angle_gamma 139.63
_symmetry_space_group_name_H-M 'P 1'
_symmetry_Int_Tables_number 1
loop_
_symmetry_equiv_pos_as_xyz
'x,y,z'
loop_
_atom_site_label
_atom_site_type_symbol
_atom_site_fract_x
_atom_site_fract_y
_atom_site_fract_z
Tl1 Tl 0.178 0.678 0.856
Tl2 Tl 0.250 0.250 0.000
Tl3 Tl 0.322 0.178 0.500
Tl4 Tl 0.678 0.822 0.500
Tl5 Tl 0.750 0.750 0.000
Tl6 Tl 0.822 0.322 0.144
Hg1 Hg 0.068 0.241 0.309
Hg2 Hg 0.241 0.932 0.173
Hg3 Hg 0.250 0.750 0.500
Hg4 Hg 0.259 0.432 0.691
Hg5 Hg 0.432 0.741 0.173
Hg6 Hg 0.568 0.259 0.827
Hg7 Hg 0.741 0.568 0.309
Hg8 Hg 0.750 0.250 0.500
Hg9 Hg 0.759 0.068 0.827
Hg10 Hg 0.932 0.759 0.691
```



A relaxed TlHg crystal, computed with PBE-GGA.

Properties
E in eV per atom: -1.331
Size of the total moment in μB/atom: 0.0000
Space group: R-3m (166)

Geometry as CIF:
```
data_TlHg
_chemical_formula_sum 'Tl1 Hg1'
_cell_length_a 5.915
_cell_length_b 5.915
_cell_length_c 5.915
_cell_angle_alpha 34.14
_cell_angle_beta 34.14
_cell_angle_gamma 34.14
_symmetry_space_group_name_H-M 'P 1'
_symmetry_Int_Tables_number 1
loop_
_symmetry_equiv_pos_as_xyz
'x,y,z'
loop_
_atom_site_label
_atom_site_type_symbol
_atom_site_fract_x
_atom_site_fract_y
_atom_site_fract_z
Tl1 Tl 0.000 0.000 0.000
Hg1 Hg 0.500 0.500 0.500
```